# 1
DFT (GGA-PBE) results for a geometry-optimized YZnRu structure.

## Properties
N(E_F) (states/eV/cell): 2.230
Energy of formation (meV/atom): 616
Energy (eV/atom): -5.055

Geometry as POSCAR:
```
YZnRu
1.0
0.000 3.240 3.240
3.240 0.000 3.240
3.240 3.240 0.000
Y Zn Ru
1 1 1
Cartesian
0.000 0.000 0.000
1.620 1.620 1.620
4.860 4.860 4.860
```

---

# 2
DFT (GGA-PBE) results for a geometry-optimized YZnRu3 structure.

## Properties
N(E_F) (states/eV/cell): 5.815
Energy of formation (meV/atom): 1961
Energy (eV/atom): -5.152
E above lowest polymorph (meV per atom): 1149

Geometry as POSCAR:
```
YZnRu3
1.0
4.899 0.000 0.000
0.000 4.899 0.000
0.000 0.000 4.899
Y Zn Ru
1 1 3
Cartesian
0.000 0.000 0.000
2.449 2.449 2.449
0.000 0.000 2.449
0.000 2.449 0.000
2.449 0.000 0.000
```

---

# 3
DFT (GGA-PBE) results for a geometry-optimized YZn2Ru2 structure.

## Properties
N(E_F) (states/eV/cell): 9.231
Energy of formation (meV/atom): -79
Energy (eV/atom): -5.592
E above lowest polymorph (meV per atom): 0

Geometry as POSCAR:
```
YZn2Ru2
1.0
-2.120 2.120 5.076
2.120 -2.120 5.076
2.120 2.120 -5.076
Y Zn Ru
1 2 2
Cartesian
0.000 0.000 0.000
2.120 0.000 2.538
0.000 2.120 2.538
0.000 0.000 3.919
0.000 0.000 6.233
```

---

# 4
DFT (GGA-PBE) results for a geometry-optimized Y4ZnRu3 structure.

## Properties
N(E_F) (states/eV/cell): 3.627
Energy of formation (meV/atom): -351
Energy (eV/atom): -7.221

Geometry as POSCAR:
```
Y4ZnRu3
1.0
4.863 0.000 0.000
0.000 4.863 0.000
0.000 0.000 6.954
Y Zn Ru
4 1 3
Cartesian
0.000 2.432 1.676
0.000 2.432 5.277
2.432 0.000 1.676
2.432 0.000 5.277
0.000 0.000 3.477
0.000 0.000 0.000
2.432 2.432 0.000
2.432 2.432 3.477
```